Entry 1:
First-principles (PBE) data for crystalline Ac3GdCl at its relaxed geometry, as listed in Alexandria via LeMat-Bulk.

The structure in extended XYZ format:
```
5
Lattice="-1.0263 -2.5715 -5.1296 3.4087 -4.4651 1.5564 -4.6158 -2.7256 2.2899" Properties=species:S:1:pos:R:3 pbc="T T T"
Ac -2.3079 -1.3628 1.1449
Ac 1.7043 -2.2325 0.7782
Ac -0.5132 -1.2857 -2.5648
Gd -1.1167 -4.8811 -0.6417
Cl 0.0000 0.0000 0.0000
```

Properties
Total moment ... 1.47 μB/atom
E_form (uncorrected) ... -0.47 eV per atom
Volume ... 39.61 Å³ per atom

***

Entry 2:
First-principles (PBE) data for crystalline BaPmTlZn at its relaxed geometry, as listed in Alexandria via LeMat-Bulk.

The structure in extended XYZ format:
```
4
Lattice="-4.4882 3.0483 -1.5804 -4.7068 -2.5961 -1.7435 -4.6362 0.0862 3.2298" Properties=species:S:1:pos:R:3 pbc="T T T"
Pm -10.3734 0.4038 -0.0706
Zn 0.0000 0.0000 0.0000
Ba -3.4578 0.1346 -0.0235
Tl -6.9156 0.2692 -0.0471
```

Properties
Total moment ... 0.00 μB/atom
Electronic total energy ... -2.775 eV/atom
Volume ... 31.90 Å³ per atom

***

Entry 3:
First-principles (PBE) data for crystalline YB4Ru4 at its relaxed geometry, as listed in Alexandria via LeMat-Bulk.

The structure in extended XYZ format:
```
18
Lattice="4.0511 0.0000 0.0000 0.0000 7.4534 0.0000 0.0000 0.0000 7.4534" Properties=species:S:1:pos:R:3 pbc="T T T"
B 2.4802 6.2002 2.1858
B 0.4547 1.5409 2.4736
B 1.5709 5.2676 6.2002
B 3.5964 2.4736 5.9124
B 0.4547 5.9124 4.9798
B 1.5709 2.1858 1.2531
B 3.5964 4.9798 1.5409
B 2.4802 1.2531 5.2676
Y 2.0255 3.7267 3.7267
Y 0.0000 0.0000 0.0000
Ru 3.5950 4.5496 6.3799
Ru 0.4561 1.0734 4.5496
Ru 2.4816 6.6304 4.8001
Ru 1.5694 2.6533 6.6304
Ru 0.4561 6.3799 2.9037
Ru 2.4816 0.8229 2.6533
Ru 3.5950 2.9037 1.0734
Ru 1.5694 4.8001 0.8229
```

Properties
Total moment ... 0.00 μB/atom
ΔE to the lowest computed polymorph ... 18 meV/atom
Volume ... 12.50 Å³ per atom

***

Entry 4:
First-principles (PBE) data for crystalline CdH7Pt4 at its relaxed geometry, as listed in Alexandria via LeMat-Bulk.

The structure in extended XYZ format:
```
24
Lattice="-1.7557 1.6373 -4.1585 -5.2444 -2.5562 1.2077 -2.6916 7.4437 4.0672" Properties=species:S:1:pos:R:3 pbc="T T T"
Pt -3.4391 6.0204 0.7631
Pt -2.9316 1.3913 1.5325
Pt -4.6966 0.7424 -0.7500
Pt -3.9592 4.2331 3.0852
Pt -6.9023 3.5771 4.0355
Pt -6.3606 5.3443 1.7644
Pt -2.2443 2.7163 -1.0422
Pt -5.4055 -0.5624 1.7737
H -5.5940 3.8084 2.7003
H -5.3009 6.3053 0.7874
H -4.5887 1.0281 1.1811
H -3.6915 -0.5487 -1.4387
H -3.6004 4.4288 1.4118
H -3.0021 2.7742 0.5077
H -3.7823 2.5383 2.5872
H -3.6146 1.6419 -1.7606
H -5.3437 -0.7108 0.0726
H -5.6389 0.3039 -2.1238
H -3.3300 3.8194 -1.7661
H -7.3971 4.9682 3.1756
H -7.7321 6.0930 1.0393
H -3.9681 5.5840 -0.8019
Cd -1.5747 -0.3068 -0.4806
Cd -6.5422 2.8962 0.1057
```

Properties
Total moment ... 0.00 μB/atom
Electronic total energy ... -4.021 eV/atom
Volume ... 10.61 Å³ per atom

***

Entry 5:
First-principles (PBE) data for crystalline ZrUPaSn at its relaxed geometry, as listed in Alexandria via LeMat-Bulk.

The structure in extended XYZ format:
```
4
Lattice="5.1261 0.0000 0.0000 2.5630 4.4393 0.0000 2.5630 1.4798 4.1854" Properties=species:S:1:pos:R:3 pbc="T T T"
U 7.6891 4.4393 3.1391
Sn 2.5630 1.4798 1.0464
Zr 0.0000 0.0000 0.0000
Pa 5.1261 2.9595 2.0927
```

Properties
Total moment ... 1.11 μB/atom
Electronic total energy ... -8.215 eV/atom
Volume ... 23.81 Å³ per atom

***

Entry 6:
First-principles (PBE) data for crystalline Ag2RhAu at its relaxed geometry, as listed in Alexandria via LeMat-Bulk.

The structure in extended XYZ format:
```
4
Lattice="0.6860 3.1559 3.6695 -4.4655 1.2157 1.5741 1.9546 -4.4241 -0.7089" Properties=species:S:1:pos:R:3 pbc="T T T"
Ag 0.0000 0.0000 0.0000
Ag -2.2003 -0.5113 1.7435
Au -1.8897 2.1858 2.6218
Rh 0.3755 0.4588 2.7912
```

Properties
Total moment ... 0.00 μB/atom
Electronic total energy ... -3.915 eV/atom
Volume ... 16.92 Å³ per atom

***

Entry 7:
First-principles (PBE) data for crystalline AlIn3Se at its relaxed geometry, as listed in Alexandria via LeMat-Bulk.

The structure in extended XYZ format:
```
5
Lattice="5.3042 0.0000 0.0000 0.0000 5.3042 0.0000 0.0000 0.0000 5.3042" Properties=species:S:1:pos:R:3 pbc="T T T"
Se 2.6521 2.6521 2.6521
In 0.0000 0.0000 2.6521
In 0.0000 2.6521 0.0000
In 2.6521 0.0000 0.0000
Al 0.0000 0.0000 0.0000
```

Properties
Total moment ... 0.00 μB/atom
ΔE to the lowest computed polymorph ... 0 meV/atom
E_form (uncorrected) ... 0.19 eV per atom
Volume ... 29.85 Å³ per atom

***

Entry 8:
First-principles (PBE) data for crystalline K2BaV2S7 at its relaxed geometry, as listed in Alexandria via LeMat-Bulk.

The structure in extended XYZ format:
```
12
Lattice="6.8172 0.0000 0.0000 3.4086 5.9039 0.0000 3.4086 1.9680 9.8728" Properties=species:S:1:pos:R:3 pbc="T T T"
S 0.0000 0.0000 0.0000
S 9.1997 4.1456 2.8458
S 5.8076 1.7678 2.8458
S 9.1997 3.7263 7.0270
S 5.8076 6.1040 7.0270
S 5.4444 5.8944 2.8458
S 5.4444 1.9775 7.0270
K 3.4086 1.9680 0.7938
K 10.2259 5.9039 9.0790
Ba 6.8172 3.9359 4.9364
V 10.2259 5.9039 2.2149
V 3.4086 1.9680 7.6579
```

Properties
Total moment ... 0.00 μB/atom
E_form (uncorrected) ... -1.07 eV per atom
Volume ... 33.11 Å³ per atom

***

Entry 9:
First-principles (PBE) data for crystalline BaMoIr2 at its relaxed geometry, as listed in Alexandria via LeMat-Bulk.

The structure in extended XYZ format:
```
4
Lattice="-3.3622 -3.4499 -0.4426 -3.0823 -0.8535 3.6295 -4.6621 1.2097 -0.4509" Properties=species:S:1:pos:R:3 pbc="T T T"
Ir -8.3299 -2.3202 2.0520
Ir -2.7766 -0.7734 0.6840
Mo 0.0000 0.0000 0.0000
Ba -5.5533 -1.5468 1.3680
```

Properties
Total moment ... 0.44 μB/atom
ΔE to the lowest computed polymorph ... 857 meV/atom
Volume ... 20.01 Å³ per atom

***

Entry 10:
First-principles (PBE) data for crystalline Pm3IrI3 at its relaxed geometry, as listed in Alexandria via LeMat-Bulk.

The structure in extended XYZ format:
```
14
Lattice="-1.2291 5.4590 -3.0459 -2.8320 -4.9238 -7.6819 -6.3307 2.3462 6.7597" Properties=species:S:1:pos:R:3 pbc="T T T"
Ir -4.3046 -1.1377 -3.6334
Ir -6.0872 4.0191 -0.3347
Pm -6.7822 -1.1734 -2.6976
Pm -8.0017 2.8175 -1.7157
Pm -2.3901 0.0639 -2.2524
Pm -3.6095 4.0548 -1.2706
Pm -6.6494 5.1828 1.9778
Pm -3.7423 -2.3014 -5.9460
I -6.9601 1.5618 -4.3866
I -4.4556 0.6347 -7.0587
I -3.4317 1.3196 0.4184
I -3.3429 2.5816 -4.0184
I -7.0488 0.2997 0.0502
I -5.9362 2.2467 3.0906
```

Properties
Total moment ... 0.00 μB/atom
ΔE to the lowest computed polymorph ... 603 meV/atom
E_form (uncorrected) ... -0.54 eV per atom
Volume ... 35.99 Å³ per atom

***

Entry 11:
First-principles (PBE) data for crystalline ZnInAs2 at its relaxed geometry, as listed in Alexandria via LeMat-Bulk.

The structure in extended XYZ format:
```
4
Lattice="4.8890 0.0000 0.0000 0.0000 4.8890 0.0000 0.0000 0.0000 3.4212" Properties=species:S:1:pos:R:3 pbc="T T T"
Zn 0.0000 2.4445 1.7106
As 2.4445 2.4445 0.0000
As 0.0000 0.0000 0.0000
In 2.4445 0.0000 1.7106
```

Properties
Total moment ... 0.00 μB/atom
Electronic total energy ... -3.050 eV/atom
Volume ... 20.44 Å³ per atom

***

Entry 12:
First-principles (PBE) data for crystalline Cs4Th3AgTe8 at its relaxed geometry, as listed in Alexandria via LeMat-Bulk.

The structure in extended XYZ format:
```
16
Lattice="9.2570 0.0000 0.0000 0.0000 10.3739 0.7813 -4.6285 -4.6287 6.5513" Properties=species:S:1:pos:R:3 pbc="T T T"
Cs 0.0000 0.0000 0.0000
Cs 4.6285 0.0000 0.0000
Cs -2.3142 -2.3144 3.2757
Cs 2.3142 -2.3144 3.2757
Ag 0.0000 5.1869 0.3906
Te 0.0000 5.0133 3.5806
Te 2.3374 3.0224 0.5153
Te -2.2911 2.7227 6.8173
Te 4.6285 0.7319 3.7520
Te 0.0000 0.6564 3.7380
Te 4.6285 5.0887 3.5946
Te 2.2911 2.7227 6.8173
Te 6.9196 3.0224 0.5153
Th -2.3142 2.8726 3.6663
Th 2.3142 2.8726 3.6663
Th 4.6285 5.1869 0.3906
```

Properties
Total moment ... 0.00 μB/atom
E_form (uncorrected) ... -1.07 eV per atom
Volume ... 41.41 Å³ per atom

***

Entry 13:
First-principles (PBE) data for crystalline Li3CaAs at its relaxed geometry, as listed in Alexandria via LeMat-Bulk.

The structure in extended XYZ format:
```
5
Lattice="4.8951 0.0000 0.0000 0.0000 4.8951 0.0000 0.0000 0.0000 4.8951" Properties=species:S:1:pos:R:3 pbc="T T T"
Li 0.0000 0.0000 2.4475
Li 0.0000 2.4475 0.0000
Li 2.4475 0.0000 0.0000
As 0.0000 0.0000 0.0000
Ca 2.4475 2.4475 2.4475
```

Properties
Total moment ... 0.00 μB/atom
ΔE to the lowest computed polymorph ... 0 meV/atom
Volume ... 23.46 Å³ per atom

***

Entry 14:
First-principles (PBE) data for crystalline TiGaMo3 at its relaxed geometry, as listed in Alexandria via LeMat-Bulk.

The structure in extended XYZ format:
```
5
Lattice="4.5857 0.0000 0.0000 0.0000 4.5857 0.0000 0.0000 0.0000 4.5857" Properties=species:S:1:pos:R:3 pbc="T T T"
Ti 2.2929 2.2929 2.2929
Ga 0.0000 0.0000 0.0000
Mo 0.0000 0.0000 2.2929
Mo 2.2929 0.0000 0.0000
Mo 0.0000 2.2929 0.0000
```

Properties
Total moment ... 0.00 μB/atom
ΔE to the lowest computed polymorph ... 0 meV/atom
Volume ... 19.29 Å³ per atom

***

Entry 15:
First-principles (PBE) data for crystalline HfCr3Sb at its relaxed geometry, as listed in Alexandria via LeMat-Bulk.

The structure in extended XYZ format:
```
5
Lattice="4.7686 0.0000 0.0000 0.0000 4.7686 0.0000 0.0000 0.0000 4.7686" Properties=species:S:1:pos:R:3 pbc="T T T"
Cr 2.3843 0.0000 0.0000
Cr 0.0000 0.0000 2.3843
Cr 0.0000 2.3843 0.0000
Hf 2.3843 2.3843 2.3843
Sb 0.0000 0.0000 0.0000
```

Properties
Total moment ... 1.40 μB/atom
ΔE to the lowest computed polymorph ... 0 meV/atom
E_form (uncorrected) ... 1.38 eV per atom
Volume ... 21.69 Å³ per atom

***

Entry 16:
First-principles (PBE) data for crystalline B13P at its relaxed geometry, as listed in Alexandria via LeMat-Bulk.

The structure in extended XYZ format:
```
14
Lattice="4.2634 -2.9283 -0.0164 4.2634 2.9283 -0.0164 2.2701 0.0000 4.6475" Properties=species:S:1:pos:R:3 pbc="T T T"
B 1.4654 -0.9150 0.0518
B 0.8425 0.0000 1.5091
B 9.9663 0.0000 3.1211
B 4.2472 1.4575 0.9001
B 1.4654 0.9150 0.0518
B 3.2551 0.0000 3.2214
B 6.5526 1.5286 3.7603
B 7.5930 0.0000 1.3258
B 4.4346 0.0000 1.8953
B 9.3492 0.9066 4.5650
B 6.5526 -1.5286 3.7603
B 4.2472 -1.4575 0.9001
B 9.3492 -0.9066 4.5650
P 6.2589 0.0000 2.6750
```

Properties
Total moment ... 0.00 μB/atom
Electronic total energy ... -6.617 eV/atom
Volume ... 8.30 Å³ per atom

***

Entry 17:
First-principles (PBE) data for crystalline AcLa2Pr5Tm at its relaxed geometry, as listed in Alexandria via LeMat-Bulk.

The structure in extended XYZ format:
```
18
Lattice="9.0778 0.0000 0.0000 0.0000 9.0778 0.0000 -4.5389 -4.5389 8.0666" Properties=species:S:1:pos:R:3 pbc="T T T"
Pr 4.5389 4.5389 0.0000
Pr 6.4627 7.1539 2.2172
Pr 7.1539 2.6151 2.2172
Pr 1.9238 6.4627 2.2172
Pr -2.6151 1.9238 5.8494
Pr 2.6151 1.9238 2.2172
Pr 0.0000 0.0000 0.0000
Pr -1.9238 -2.6151 5.8494
Pr 2.6151 -1.9238 5.8494
Pr 1.9238 2.6151 5.8494
La 8.0112 5.6055 0.0000
La 3.4723 8.0112 0.0000
La 5.6055 1.0666 0.0000
La 1.0666 3.4723 0.0000
Tm 0.0000 4.5389 4.0333
Tm 4.5389 0.0000 4.0333
Ac 4.5389 4.5389 4.0333
Ac 0.0000 0.0000 4.0333
```

Properties
Total moment ... 0.00 μB/atom
Electronic total energy ... -4.463 eV/atom
Volume ... 36.93 Å³ per atom

***

Entry 18:
First-principles (PBE) data for crystalline NiOsPb at its relaxed geometry, as listed in Alexandria via LeMat-Bulk.

The structure in extended XYZ format:
```
3
Lattice="-1.5896 5.3093 -0.1715 -4.2056 3.5910 0.4101 -0.0201 1.0449 3.0070" Properties=species:S:1:pos:R:3 pbc="T T T"
Pb -3.8462 6.2492 1.1729
Os -2.1247 3.9076 1.9981
Ni -5.6397 8.6886 0.3132
```

Properties
Total moment ... 0.00 μB/atom
ΔE to the lowest computed polymorph ... 0 meV/atom
Volume ... 17.12 Å³ per atom

***

Entry 19:
First-principles (PBE) data for crystalline NaMn2InAu at its relaxed geometry, as listed in Alexandria via LeMat-Bulk.

The structure in extended XYZ format:
```
5
Lattice="5.1832 0.0000 0.0000 0.0000 5.2659 0.0000 0.0000 0.0000 5.1832" Properties=species:S:1:pos:R:3 pbc="T T T"
In 0.0000 0.0000 0.0000
Na 2.5916 2.6330 2.5916
Mn 0.0000 0.0000 2.5916
Mn 2.5916 0.0000 0.0000
Au 0.0000 2.6330 0.0000
```

Properties
Total moment ... 1.73 μB/atom
Electronic total energy ... -4.374 eV/atom
Volume ... 28.29 Å³ per atom

***

Entry 20:
First-principles (PBE) data for crystalline GeBH at its relaxed geometry, as listed in Alexandria via LeMat-Bulk.

The structure in extended XYZ format:
```
12
Lattice="-2.7963 6.2020 -3.4464 -2.8405 -1.8761 -1.0715 -2.4881 1.2891 4.3386" Properties=species:S:1:pos:R:3 pbc="T T T"
B -3.6955 2.7688 1.9768
B -3.2801 -0.1259 0.0009
B -4.4294 2.8462 -2.1561
B -4.8448 5.7409 -0.1801
Ge -2.5992 3.7069 -2.5716
Ge -5.5257 1.9081 2.3924
Ge -2.4287 1.2419 1.2921
Ge -5.6962 4.3731 -1.4714
H -5.5740 6.6904 0.0903
H -4.4859 2.3038 -1.0566
H -2.5509 -1.0754 -0.2696
H -3.6390 3.3112 0.8773
```

Properties
Total moment ... 0.00 μB/atom
ΔE to the lowest computed polymorph ... 0 meV/atom
Volume ... 11.71 Å³ per atom